First-principles (GGA-PBE) data for crystalline Tl2ZnIr at its relaxed geometry, as listed in Alexandria.

Computed properties:
N(E_F) = 7.8 states/eV/cell
ΔE_f = 0.46 eV per atom
distance to the lowest polymorph of the same formula = 345.8 meV/atom

Cell lengths 3.3020, 3.3020, 26.6155 Å; angles 90.00, 90.00, 120.00 degrees
Space group R-3m (No. 166, hexagonal axes)
Unique sites:
Tl (0.0000, 0.0000, 0.2462) [6 per cell]
Zn (0.0000, 0.0000, 0.0000) [3 per cell]
Ir (0.0000, 0.0000, 0.5000) [3 per cell]